Entry 1:
{
  "formula": "AcGaPb2",
  "functional": "PBE",
  "state": "optimized geometry",
  "lattice": [[3.713, 0.000, 0.000], [1.856, 3.215, 0.000], [1.856, 1.072, 11.253]],
  "species": ["Ga", "Pb", "Pb", "Ac"],
  "frac_coords": [[0.500, 0.500, 0.500], [0.899, 0.899, 0.303], [0.101, 0.101, 0.697], [0.000, 0.000, 0.000]],
  "e_form_ev_per_atom": 0.137,
  "volume_a3_per_atom": 33.58
}


Entry 2:
{
  "formula": "LaDy2HoIn4",
  "functional": "PBE",
  "state": "optimized geometry",
  "lattice": [[5.376, 0.000, 0.000], [2.688, 4.656, 0.000], [2.688, 1.552, 8.827]],
  "species": ["Ho", "La", "In", "In", "In", "In", "Dy", "Dy"],
  "frac_coords": [[0.500, 0.500, 0.500], [0.000, 0.000, 0.000], [0.378, 0.378, 0.867], [0.873, 0.873, 0.382], [0.127, 0.127, 0.618], [0.622, 0.622, 0.133], [0.249, 0.249, 0.252], [0.751, 0.751, 0.748]],
  "e_form_ev_per_atom": -0.466,
  "volume_a3_per_atom": 27.62
}


Entry 3:
{
  "formula": "ZrCrTc",
  "functional": "PBE",
  "state": "optimized geometry",
  "lattice": [[-0.421, 3.183, 2.757], [-3.842, 1.538, 0.887], [-1.737, -0.703, 3.794]],
  "species": ["Tc", "Zr", "Cr"],
  "frac_coords": [[0.000, 0.000, 0.000], [0.500, 0.500, 0.500], [0.750, 0.750, 0.750]],
  "e_form_ev_per_atom": 0.446,
  "volume_a3_per_atom": 17.86
}


Entry 4:
{
  "formula": "Ca3Hg2Bi4",
  "functional": "PBE",
  "state": "optimized geometry",
  "lattice": [[-3.273, -3.124, 1.751], [-2.453, -1.183, -6.697], [7.892, -3.616, 1.573]],
  "species": ["Hg", "Hg", "Ca", "Ca", "Ca", "Bi", "Bi", "Bi", "Bi"],
  "frac_coords": [[0.658, 0.998, 0.316], [0.342, 0.002, 0.684], [0.000, 0.000, 0.000], [0.132, 0.656, 0.264], [0.868, 0.344, 0.736], [0.470, 0.678, 0.941], [0.217, 0.275, 0.435], [0.530, 0.322, 0.059], [0.783, 0.725, 0.565]],
  "e_form_ev_per_atom": -0.520,
  "volume_a3_per_atom": 30.03
}


Entry 5:
{
  "formula": "PrZn3As3",
  "functional": "PBE",
  "state": "optimized geometry",
  "lattice": [[2.104, -3.657, 0.000], [2.104, 3.657, 0.000], [0.000, 0.000, 20.553]],
  "species": ["Pr", "Pr", "As", "As", "As", "As", "As", "As", "Zn", "Zn", "Zn", "Zn", "Zn", "Zn"],
  "frac_coords": [[0.015, 0.015, 0.500], [0.015, 0.015, 0.000], [0.353, 0.685, 0.589], [0.353, 0.685, 0.911], [0.256, 0.534, 0.250], [0.685, 0.353, 0.089], [0.685, 0.353, 0.411], [0.534, 0.256, 0.750], [0.355, 0.691, 0.130], [0.691, 0.355, 0.630], [0.594, 0.211, 0.250], [0.355, 0.691, 0.370], [0.691, 0.355, 0.870], [0.211, 0.594, 0.750]],
  "e_form_ev_per_atom": -0.541,
  "volume_a3_per_atom": 22.59
}


Entry 6:
{
  "formula": "SrAgSb2",
  "functional": "PBE",
  "state": "optimized geometry",
  "lattice": [[5.388, 0.000, 0.000], [0.000, 5.388, 0.000], [2.694, 2.694, 9.439]],
  "species": ["Sb", "Sb", "Sb", "Sb", "Sr", "Sr", "Ag", "Ag"],
  "frac_coords": [[0.003, 0.625, 0.250], [0.747, 0.125, 0.250], [0.875, 0.997, 0.750], [0.375, 0.253, 0.750], [0.500, 0.500, 0.000], [0.250, 0.750, 0.500], [0.000, 0.000, 0.000], [0.750, 0.250, 0.500]],
  "final_energy_ev_per_atom": -3.527,
  "volume_a3_per_atom": 34.25
}


Entry 7:
{
  "formula": "Si2HgW",
  "functional": "PBE",
  "state": "optimized geometry",
  "lattice": [[-1.750, 0.670, -5.145], [3.440, -4.260, -0.026], [-1.403, -2.397, -0.886]],
  "species": ["Hg", "W", "Si", "Si"],
  "frac_coords": [[0.000, 0.500, 0.500], [0.500, 0.000, 0.500], [0.000, 0.000, 0.000], [0.500, 0.500, 0.000]],
  "final_energy_ev_per_atom": -5.330,
  "volume_a3_per_atom": 17.19
}


Entry 8:
{
  "formula": "MgScPd",
  "functional": "PBE",
  "state": "optimized geometry",
  "lattice": [[-1.806, 2.830, -6.425], [4.795, -2.137, -6.379], [-2.209, -5.401, -5.848]],
  "species": ["Mg", "Mg", "Mg", "Mg", "Mg", "Mg", "Sc", "Sc", "Sc", "Sc", "Sc", "Sc", "Pd", "Pd", "Pd", "Pd", "Pd", "Pd"],
  "frac_coords": [[0.782, 0.485, 0.985], [0.833, 0.264, 0.764], [0.861, 0.736, 0.236], [0.570, 0.103, 0.603], [0.277, 0.897, 0.397], [0.253, 0.515, 0.015], [0.565, 0.713, 0.658], [0.937, 0.842, 0.787], [0.350, 0.685, 0.185], [0.565, 0.158, 0.213], [0.937, 0.287, 0.342], [0.220, 0.315, 0.815], [0.215, 0.941, 0.828], [0.538, 0.500, 0.500], [0.215, 0.328, 0.441], [0.984, 0.059, 0.172], [0.984, 0.672, 0.559], [0.538, 0.000, 0.000]],
  "e_form_ev_per_atom": -0.415,
  "volume_a3_per_atom": 19.76
}


Total moment per entry: 0.0, 0.0, 0.0, 0.0, 0.0, 0.0, 0.0, 0.0 μB per formula unit